Below is NbCrNi4 after structural relaxation, with properties calculated at the PBE level.

For the calculated volume, the calculation gives 12.5 Å³ per atom. Its total energy is -7.252 eV per atom. The space group is F-43m, No. 216. The calculation puts the magnetization at 4.8 Bohr magnetons per cell. As for the formation energy: -0.692 eV per formula unit. Its density of states at the Fermi level is 0.78 states/eV per atom.

Cell: 4.738 4.738 4.738 Å, 60.00 60.00 60.00°
Atoms (fractional coordinates):
Ni 0.624 0.624 0.127
Ni 0.624 0.127 0.624
Ni 0.624 0.624 0.624
Ni 0.127 0.624 0.624
Nb 0.000 0.000 0.000
Cr 0.250 0.250 0.250

Below is NbCr3Ni after structural relaxation, with properties calculated at the PBE level.

For the calculated volume, the calculation gives 16.1 Å³ per atom. Its total energy is -7.763 eV per atom. The space group is Pm-3m, No. 221. The calculation puts the magnetization at 6.9 Bohr magnetons per cell. As for the formation energy: 5.906 eV per formula unit. Its density of states at the Fermi level is 2.27 states/eV per atom.

Cell: 4.320 4.320 4.320 Å, 90.00 90.00 90.00°
Atoms (fractional coordinates):
Ni 0.000 0.000 0.000
Nb 0.500 0.500 0.500
Cr 0.000 0.500 0.000
Cr 0.000 0.000 0.500
Cr 0.500 0.000 0.000

Below is NbCr3Ni after structural relaxation, with properties calculated at the PBE level.

For the calculated volume, the calculation gives 17.4 Å³ per atom. Its total energy is -6.929 eV per atom. The space group is Pm-3m, No. 221. The calculation puts the magnetization at 0.1 Bohr magnetons per cell. As for the formation energy: 10.074 eV per formula unit. Its density of states at the Fermi level is 1.70 states/eV per atom.

Cell: 4.430 4.430 4.430 Å, 90.00 90.00 90.00°
Atoms (fractional coordinates):
Ni 0.500 0.500 0.500
Nb 0.000 0.000 0.000
Cr 0.000 0.500 0.000
Cr 0.000 0.000 0.500
Cr 0.500 0.000 0.000

Below is Nb2CrNi2 after structural relaxation, with properties calculated at the PBE level.

For the calculated volume, the calculation gives 14.4 Å³ per atom. Its total energy is -8.184 eV per atom. The space group is P4/mbm, No. 127. The calculation puts the magnetization at 0.0 Bohr magnetons per cell. As for the formation energy: 0.405 eV per formula unit. Its density of states at the Fermi level is 1.70 states/eV per atom.

Cell: 6.409 6.409 3.505 Å, 90.00 90.00 90.00°
Atoms (fractional coordinates):
Ni 0.373 0.873 0.000
Ni 0.873 0.627 0.000
Ni 0.627 0.127 0.000
Ni 0.127 0.373 0.000
Nb 0.178 0.678 0.500
Nb 0.678 0.822 0.500
Nb 0.822 0.322 0.500
Nb 0.322 0.178 0.500
Cr 0.000 0.000 0.000
Cr 0.500 0.500 0.000

Below is NbCr2Ni after structural relaxation, with properties calculated at the PBE level.

For the calculated volume, the calculation gives 14.1 Å³ per atom. Its total energy is -8.132 eV per atom. The space group is I-42d, No. 122. The calculation puts the magnetization at 0.0 Bohr magnetons per cell. As for the formation energy: 2.568 eV per formula unit. Its density of states at the Fermi level is 1.56 states/eV per atom.

Cell: 6.764 6.764 5.379 Å, 51.04 51.04 90.00°
Atoms (fractional coordinates):
Ni 0.500 0.500 0.000
Ni 0.250 0.750 0.500
Nb 0.000 0.000 0.000
Nb 0.750 0.250 0.500
Cr 0.600 0.125 0.250
Cr 0.150 0.625 0.250
Cr 0.375 0.400 0.750
Cr 0.875 0.850 0.750

Below is NbCrNi6 after structural relaxation, with properties calculated at the PBE level.

For the calculated volume, the calculation gives 12.0 Å³ per atom. Its total energy is -6.919 eV per atom. The space group is Cmmm, No. 65. The calculation puts the magnetization at 13.0 Bohr magnetons per cell. As for the formation energy: -0.972 eV per formula unit. Its density of states at the Fermi level is 0.70 states/eV per atom.

Cell: 6.288 6.288 10.276 Å, 90.00 90.00 109.54°
Atoms (fractional coordinates):
Nb 0.748 0.252 0.000
Nb 0.252 0.748 0.000
Nb 0.500 0.500 0.745
Nb 0.500 0.500 0.255
Cr 0.745 0.255 0.500
Cr 0.255 0.745 0.500
Cr 0.000 0.000 0.744
Cr 0.000 0.000 0.256
Ni 0.751 0.249 0.749
Ni 0.124 0.371 0.874
Ni 0.876 0.629 0.874
Ni 0.249 0.751 0.749
Ni 0.629 0.876 0.874
Ni 0.371 0.124 0.874
Ni 0.500 0.500 0.500
Ni 0.878 0.627 0.624
Ni 0.627 0.878 0.624
Ni 0.751 0.249 0.251
Ni 0.122 0.373 0.376
Ni 0.878 0.627 0.376
Ni 0.249 0.751 0.251
Ni 0.627 0.878 0.376
Ni 0.373 0.122 0.376
Ni 0.500 0.500 0.000
Ni 0.876 0.629 0.126
Ni 0.629 0.876 0.126
Ni 0.000 0.000 0.500
Ni 0.373 0.122 0.624
Ni 0.122 0.373 0.624
Ni 0.000 0.000 0.000
Ni 0.371 0.124 0.126
Ni 0.124 0.371 0.126

Below is NbCrNi2 after structural relaxation, with properties calculated at the PBE level.

For the calculated volume, the calculation gives 13.7 Å³ per atom. Its total energy is -7.447 eV per atom. The space group is I-42d, No. 122. The calculation puts the magnetization at 0.0 Bohr magnetons per cell. As for the formation energy: 1.468 eV per formula unit. Its density of states at the Fermi level is 1.28 states/eV per atom.

Cell: 6.662 6.662 5.316 Å, 51.20 51.20 90.00°
Atoms (fractional coordinates):
Ni 0.597 0.125 0.250
Ni 0.153 0.625 0.250
Ni 0.375 0.403 0.750
Ni 0.875 0.847 0.750
Nb 0.000 0.000 0.000
Nb 0.750 0.250 0.500
Cr 0.500 0.500 0.000
Cr 0.250 0.750 0.500

Below is Nb4Cr2Ni after structural relaxation, with properties calculated at the PBE level.

For the calculated volume, the calculation gives 18.2 Å³ per atom. Its total energy is -8.376 eV per atom. The space group is I4/mmm, No. 139. The calculation puts the magnetization at 1.0 Bohr magnetons per cell. As for the formation energy: 6.673 eV per formula unit. Its density of states at the Fermi level is 1.16 states/eV per atom.

Cell: 4.559 4.559 6.934 Å, 70.81 70.81 90.00°
Atoms (fractional coordinates):
Ni 0.000 0.000 0.000
Nb 0.801 0.801 0.399
Nb 0.199 0.199 0.601
Nb 0.000 0.500 0.000
Nb 0.500 0.000 0.000
Cr 0.616 0.616 0.768
Cr 0.384 0.384 0.232

Below is NbCrNi2 after structural relaxation, with properties calculated at the PBE level.

For the calculated volume, the calculation gives 13.6 Å³ per atom. Its total energy is -7.754 eV per atom. The space group is Fm-3m, No. 225. The calculation puts the magnetization at 3.7 Bohr magnetons per cell. As for the formation energy: 0.238 eV per formula unit. Its density of states at the Fermi level is 1.48 states/eV per atom.

Cell: 4.252 4.252 4.252 Å, 60.00 60.00 60.00°
Atoms (fractional coordinates):
Ni 0.250 0.250 0.250
Ni 0.750 0.750 0.750
Nb 0.500 0.500 0.500
Cr 0.000 0.000 0.000

Below is NbCrNi2 after structural relaxation, with properties calculated at the PBE level.

For the calculated volume, the calculation gives 12.9 Å³ per atom. Its total energy is -7.875 eV per atom. The space group is P4/mmm, No. 123. The calculation puts the magnetization at 1.6 Bohr magnetons per cell. As for the formation energy: -0.243 eV per formula unit. Its density of states at the Fermi level is 1.17 states/eV per atom.

Cell: 3.818 3.682 3.682 Å, 90.00 90.00 90.00°
Atoms (fractional coordinates):
Ni 0.000 0.000 0.500
Ni 0.000 0.500 0.000
Nb 0.500 0.500 0.500
Cr 0.500 0.000 0.000

Below is NbCrNi14 after structural relaxation, with properties calculated at the PBE level.

For the calculated volume, the calculation gives 11.3 Å³ per atom. Its total energy is -6.337 eV per atom. The space group is P4/mmm, No. 123. The calculation puts the magnetization at 4.8 Bohr magnetons per cell. As for the formation energy: -0.755 eV per formula unit. Its density of states at the Fermi level is 1.95 states/eV per atom.

Cell: 5.067 5.067 7.059 Å, 90.00 90.00 90.00°
Atoms (fractional coordinates):
Nb 0.875 0.875 0.500
Cr 0.375 0.375 0.500
Ni 0.875 0.875 0.000
Ni 0.375 0.375 0.000
Ni 0.875 0.375 0.500
Ni 0.875 0.375 0.000
Ni 0.375 0.875 0.500
Ni 0.375 0.875 0.000
Ni 0.621 0.129 0.247
Ni 0.621 0.129 0.753
Ni 0.129 0.621 0.247
Ni 0.129 0.621 0.753
Ni 0.621 0.621 0.247
Ni 0.621 0.621 0.753
Ni 0.129 0.129 0.247
Ni 0.129 0.129 0.753

Below is Nb2Cr2Ni15 after structural relaxation, with properties calculated at the PBE level.

For the calculated volume, the calculation gives 11.9 Å³ per atom. Its total energy is -6.646 eV per atom. The space group is R-3m, No. 166. The calculation puts the magnetization at 0.0 Bohr magnetons per cell. As for the formation energy: -0.177 eV per formula unit. Its density of states at the Fermi level is 1.36 states/eV per atom.

Cell: 6.149 6.149 6.149 Å, 81.44 81.44 81.44°
Atoms (fractional coordinates):
Nb 0.656 0.656 0.656
Nb 0.344 0.344 0.344
Cr 0.918 0.918 0.918
Cr 0.082 0.082 0.082
Ni 0.000 0.500 0.000
Ni 0.000 0.000 0.500
Ni 0.500 0.000 0.000
Ni 0.320 0.000 0.680
Ni 0.680 0.320 0.000
Ni 0.000 0.680 0.320
Ni 0.320 0.680 0.000
Ni 0.000 0.320 0.680
Ni 0.680 0.000 0.320
Ni 0.341 0.835 0.341
Ni 0.341 0.341 0.835
Ni 0.835 0.341 0.341
Ni 0.659 0.165 0.659
Ni 0.659 0.659 0.165
Ni 0.165 0.659 0.659

Below is NbCr2Ni after structural relaxation, with properties calculated at the PBE level.

For the calculated volume, the calculation gives 13.4 Å³ per atom. Its total energy is -8.563 eV per atom. The space group is Fm-3m, No. 225. The calculation puts the magnetization at 3.2 Bohr magnetons per cell. As for the formation energy: 0.846 eV per formula unit. Its density of states at the Fermi level is 1.05 states/eV per atom.

Cell: 4.235 4.235 4.235 Å, 60.00 60.00 60.00°
Atoms (fractional coordinates):
Ni 0.000 0.000 0.000
Nb 0.500 0.500 0.500
Cr 0.250 0.250 0.250
Cr 0.750 0.750 0.750

Below is NbCr2Ni9 after structural relaxation, with properties calculated at the PBE level.

For the calculated volume, the calculation gives 11.7 Å³ per atom. Its total energy is -6.865 eV per atom. The space group is P4/mmm, No. 123. The calculation puts the magnetization at 5.5 Bohr magnetons per cell. As for the formation energy: -1.027 eV per formula unit. Its density of states at the Fermi level is 0.75 states/eV per atom.

Cell: 3.612 3.612 10.778 Å, 90.00 90.00 90.00°
Atoms (fractional coordinates):
Nb 0.000 0.000 0.000
Cr 0.000 0.000 0.341
Cr 0.000 0.000 0.659
Ni 0.500 0.500 0.000
Ni 0.500 0.500 0.335
Ni 0.500 0.500 0.665
Ni 0.500 0.000 0.171
Ni 0.500 0.000 0.500
Ni 0.500 0.000 0.829
Ni 0.000 0.500 0.171
Ni 0.000 0.500 0.500
Ni 0.000 0.500 0.829

Below is NbCrNi3 after structural relaxation, with properties calculated at the PBE level.

For the calculated volume, the calculation gives 14.8 Å³ per atom. Its total energy is -6.454 eV per atom. The space group is Pm-3m, No. 221. The calculation puts the magnetization at 0.0 Bohr magnetons per cell. As for the formation energy: 4.769 eV per formula unit. Its density of states at the Fermi level is 1.51 states/eV per atom.

Cell: 4.195 4.195 4.195 Å, 90.00 90.00 90.00°
Atoms (fractional coordinates):
Ni 0.000 0.500 0.000
Ni 0.000 0.000 0.500
Ni 0.500 0.000 0.000
Nb 0.500 0.500 0.500
Cr 0.000 0.000 0.000

Below is NbCr2NiPd after structural relaxation, with properties calculated at the PBE level.

For the calculated volume, the calculation gives 17.5 Å³ per atom. Its total energy is -6.445 eV per atom. The space group is P4/mmm, No. 123. The calculation puts the magnetization at 0.0 Bohr magnetons per cell. As for the formation energy: 8.068 eV per formula unit. Its density of states at the Fermi level is 1.97 states/eV per atom.

Cell: 4.426 4.473 4.426 Å, 90.00 90.00 90.00°
Atoms (fractional coordinates):
Ni 0.000 0.500 0.000
Nb 0.500 0.500 0.500
Pd 0.000 0.000 0.000
Cr 0.000 0.000 0.500
Cr 0.500 0.000 0.000

Below is Nb2Cr2NiS6 after structural relaxation, with properties calculated at the PBE level.

For the calculated volume, the calculation gives 16.6 Å³ per atom. Its total energy is -6.931 eV per atom. The space group is C2/m, No. 12. The calculation puts the magnetization at 5.2 Bohr magnetons per cell. Its density of states at the Fermi level is 0.73 states/eV per atom.

Cell: 6.142 6.142 6.137 Å, 99.52 99.52 122.89°
Atoms (fractional coordinates):
Nb 0.310 0.690 0.500
Nb 0.690 0.310 0.500
Cr 0.842 0.158 0.000
Cr 0.158 0.842 0.000
Ni 0.000 0.000 0.500
S 0.765 0.765 0.724
S 0.101 0.425 0.771
S 0.235 0.235 0.276
S 0.425 0.101 0.771
S 0.899 0.575 0.229
S 0.575 0.899 0.229

Below is NbCr2NiW after structural relaxation, with properties calculated at the PBE level.

For the calculated volume, the calculation gives 18.4 Å³ per atom. Its total energy is -7.454 eV per atom. The space group is P4/mmm, No. 123. The calculation puts the magnetization at 0.0 Bohr magnetons per cell. As for the formation energy: 10.782 eV per formula unit. Its density of states at the Fermi level is 1.24 states/eV per atom.

Cell: 4.389 4.389 4.783 Å, 90.00 90.00 90.00°
Atoms (fractional coordinates):
Ni 0.500 0.500 0.500
Nb 0.000 0.000 0.000
W 0.000 0.000 0.500
Cr 0.000 0.500 0.000
Cr 0.500 0.000 0.000

Below is NpNbCr after structural relaxation, with properties calculated at the PBE level.

For the calculated volume, the calculation gives 16.5 Å³ per atom. Its total energy is -10.606 eV per atom. The space group is R-3m, No. 166. The calculation puts the magnetization at 0.4 Bohr magnetons per cell. As for the formation energy: 0.815 eV per formula unit. Its density of states at the Fermi level is 1.55 states/eV per atom.

Cell: 5.240 5.240 12.868 Å, 78.25 78.25 60.00°
Atoms (fractional coordinates):
Nb 0.728 0.728 0.815
Nb 0.272 0.272 0.185
Nb 0.036 0.036 0.891
Nb 0.964 0.964 0.109
Nb 0.182 0.182 0.455
Nb 0.818 0.818 0.545
Np 0.208 0.733 0.325
Np 0.733 0.208 0.325
Np 0.733 0.733 0.325
Np 0.792 0.267 0.675
Np 0.267 0.792 0.675
Np 0.267 0.267 0.675
Cr 0.382 0.382 0.853
Cr 0.618 0.618 0.147
Cr 0.000 0.500 0.000
Cr 0.500 0.000 0.000
Cr 0.500 0.500 0.000
Cr 0.500 0.500 0.500

Below is NpNb2Cr after structural relaxation, with properties calculated at the PBE level.

For the calculated volume, the calculation gives 17.4 Å³ per atom. Its total energy is -10.319 eV per atom. The space group is Fm-3m, No. 225. The calculation puts the magnetization at 1.8 Bohr magnetons per cell. As for the formation energy: 1.429 eV per formula unit. Its density of states at the Fermi level is 2.24 states/eV per atom.

Cell: 4.613 4.613 4.613 Å, 60.00 60.00 60.00°
Atoms (fractional coordinates):
Np 0.000 0.000 0.000
Cr 0.500 0.500 0.500
Nb 0.250 0.250 0.250
Nb 0.750 0.750 0.750